Entry 1:
Entry from Alexandria via LeMat-Bulk: crystalline Tm4MgAu5 at its relaxed geometry (PBE).

Values from the calculation:
calculated formation energy	-0.83	eV per atom

Lattice parameters (Å, degrees): 3.4965 3.4965 17.6908 90.00 90.00 90.00
Closest atoms and distances in Å follow each position.
Element x y z (fractional)
Tm (0.0000, 0.0000, 0.1914)  8 Au 3.02-3.08
Tm (0.0000, 0.0000, 0.3975)  8 Au 3.06-3.07
Tm (0.0000, 0.0000, 0.6025)  8 Au 3.06-3.07
Tm (0.0000, 0.0000, 0.8086)  8 Au 3.02-3.08
Mg (0.0000, 0.0000, 0.0000)  8 Au 2.97
Au (0.5000, 0.5000, 0.0933)  4 Mg 2.97, 4 Tm 3.02, 1 Au 3.30
Au (0.5000, 0.5000, 0.2955)  8 Tm 3.06-3.08
Au (0.5000, 0.5000, 0.5000)  8 Tm 3.07
Au (0.5000, 0.5000, 0.7045)  8 Tm 3.06-3.08
Au (0.5000, 0.5000, 0.9067)  4 Mg 2.97, 4 Tm 3.02, 1 Au 3.30

Entry 2:
Entry from Alexandria via LeMat-Bulk: crystalline TmMg3Au4 at its relaxed geometry (PBE).

Values from the calculation:
calculated formation energy	-0.68	eV per atom

Lattice parameters (Å, degrees): 4.7889 6.7428 9.5752 90.00 90.00 90.00
Closest atoms and distances in Å follow each position.
Element x y z (fractional)
Mg (0.0000, 0.0000, 0.0000)  8 Au 2.89
Mg (0.0000, 0.0000, 0.5000)  8 Au 2.89
Mg (0.4989, 0.0000, 0.7500)  8 Au 2.89
Mg (0.5011, 0.0000, 0.2500)  8 Au 2.89
Mg (0.4994, 0.5000, 0.7500)  8 Au 2.97
Mg (0.5006, 0.5000, 0.2500)  8 Au 2.97
Tm (0.0000, 0.5000, 0.0000)  8 Au 2.97
Tm (0.0000, 0.5000, 0.5000)  8 Au 2.97
Au (0.5000, 0.7604, 0.0000)  6 Mg 2.89-2.97, 2 Tm 2.97, 1 Au 3.23
Au (0.5000, 0.7604, 0.5000)  6 Mg 2.89-2.97, 2 Tm 2.97, 1 Au 3.23
Au (0.5000, 0.2396, 0.0000)  6 Mg 2.89-2.97, 2 Tm 2.97, 1 Au 3.23
Au (0.5000, 0.2396, 0.5000)  6 Mg 2.89-2.97, 2 Tm 2.97, 1 Au 3.23
Au (0.9987, 0.7605, 0.7500)  6 Mg 2.89-2.97, 2 Tm 2.97, 1 Au 3.23
Au (0.0013, 0.7605, 0.2500)  6 Mg 2.89-2.97, 2 Tm 2.97, 1 Au 3.23
Au (0.0013, 0.2395, 0.2500)  6 Mg 2.89-2.97, 2 Tm 2.97, 1 Au 3.23
Au (0.9987, 0.2395, 0.7500)  6 Mg 2.89-2.97, 2 Tm 2.97, 1 Au 3.23

Entry 3:
Entry from Alexandria via LeMat-Bulk: crystalline Tm5MgAu6 at its relaxed geometry (PBE).

Values from the calculation:
calculated formation energy	-0.85	eV per atom

Lattice parameters (Å, degrees): 4.9605 8.6332 8.6332 120.14 106.62 106.62
Closest atoms and distances in Å follow each position.
Element x y z (fractional)
Mg (0.0000, 0.0000, 0.0000)  8 Au 3.05-3.09
Tm (0.5000, 0.1617, 0.8383)  8 Au 3.02-3.09
Tm (0.0000, 0.3316, 0.6684)  8 Au 3.03-3.06
Tm (0.5000, 0.5000, 0.5000)  8 Au 3.02-3.06
Tm (0.0000, 0.6684, 0.3316)  8 Au 3.03-3.06
Tm (0.5000, 0.8383, 0.1617)  8 Au 3.02-3.09
Au (0.2525, 0.0844, 0.4209)  7 Tm 3.03-3.09, 1 Mg 3.09
Au (0.7475, 0.5791, 0.9156)  7 Tm 3.03-3.09, 1 Mg 3.09
Au (0.7567, 0.2549, 0.2549)  6 Tm 3.02-3.06, 2 Mg 3.05-3.08
Au (0.2433, 0.7451, 0.7451)  6 Tm 3.02-3.06, 2 Mg 3.05-3.08
Au (0.2525, 0.4209, 0.0844)  7 Tm 3.03-3.09, 1 Mg 3.09
Au (0.7475, 0.9156, 0.5791)  7 Tm 3.03-3.09, 1 Mg 3.09

| no. | mass density (g/cm3) |
| --- | --- |
| 1 | 12.936 |
| 2 | 11.060 |
| 3 | 13.000 |